1.
The following is a DFT calculation (PBE-GGA) of a relaxed structure of Ba4AsAuI2.

abc: 8.468 4.789 8.923
angles: 90.00 107.32 90.00
Space group P2/m (No. 10)
Asymmetric unit:
Ba 0.230 0.000 0.206
Ba 0.260 0.500 0.791
As 0.000 0.500 0.000
Au 0.500 0.000 0.000
I 0.000 0.000 0.500
I 0.500 0.500 0.500

Values from the calculation:
Formation energy from raw total energies: -9.788 eV per formula unit

2.
The following is a DFT calculation (PBE-GGA) of a relaxed structure of TlCdOs2.

abc: 2.969 4.793 4.972
angles: 90.00 90.00 90.00
Space group Pmmm (No. 47)
Asymmetric unit:
Tl 0.000 0.000 0.000
Cd 0.500 0.000 0.500
Os 0.000 0.500 0.500
Os 0.500 0.500 0.000

Values from the calculation:
Formation enthalpy at 0 K: 4.0 eV/f.u.

3.
The following is a DFT calculation (PBE-GGA) of a relaxed structure of Pr2Nd5YEr.

abc: 5.727 20.613 10.762
angles: 90.00 90.00 90.00
Space group Cmc2_1 (No. 36)
Asymmetric unit:
Pr 0.000 0.114 0.000
Pr 0.000 0.117 0.578
Nd 0.000 0.014 0.282
Nd 0.000 0.278 0.578
Nd 0.000 0.295 0.970
Nd 0.000 0.383 0.286
Nd 0.000 0.483 0.010
Y 0.000 0.406 0.730
Er 0.000 0.200 0.275

Values from the calculation:
Formation enthalpy at 0 K: 1.2 eV/f.u.

4.
The following is a DFT calculation (PBE-GGA) of a relaxed structure of PrDy3Al2.

abc: 15.979 5.249 8.985
angles: 90.00 118.57 90.00
Space group C2/m (No. 12)
Asymmetric unit:
Pr 0.131 0.000 0.183
Dy 0.062 0.000 0.715
Dy 0.117 0.500 0.530
Dy 0.188 0.500 0.993
Al 0.019 0.500 0.156
Al 0.230 0.000 0.601

Values from the calculation:
Formation enthalpy at 0 K: -1.1 eV/f.u.
Offset from the most stable computed form: 0.073 eV per atom

5.
The following is a DFT calculation (PBE-GGA) of a relaxed structure of TmMgTlIr.

abc: 6.893 6.893 6.893
angles: 90.00 90.00 90.00
Space group F-43m (No. 216)
Asymmetric unit:
Tm 0.000 0.000 0.000
Mg 0.000 0.000 0.500
Tl 0.250 0.250 0.250
Ir 0.250 0.250 0.750

Values from the calculation:
Formation enthalpy at 0 K: -1.2 eV/f.u.

6.
The following is a DFT calculation (PBE-GGA) of a relaxed structure of AcSm2Ru.

abc: 3.9030 3.9030 32.4331
angles: 90.00 90.00 120.00
Space group R-3m (No. 166, hexagonal axes)
Asymmetric unit:
Ac 0.0000 0.0000 0.0000
Sm 0.0000 0.0000 0.1171
Ru 0.0000 0.0000 0.5000

Values from the calculation:
Formation enthalpy at 0 K: 0.4 eV/f.u.
Offset from the most stable computed form: 0.300 eV per atom

7.
The following is a DFT calculation (PBE-GGA) of a relaxed structure of RbCa2AsCl8.

abc: 6.319 8.716 6.513
angles: 90.00 90.84 90.00
Space group P2/m (No. 10)
Asymmetric unit:
Rb 0.000 0.000 0.000
Ca 0.500 0.252 0.500
As 0.000 0.500 0.000
Cl 0.232 0.299 0.162
Cl 0.252 0.500 0.683
Cl 0.272 0.000 0.609

Values from the calculation:
Formation energy from raw total energies: -20.115 eV per formula unit

8.
The following is a DFT calculation (PBE-GGA) of a relaxed structure of IrOs2W.

abc: 2.757 2.757 7.816
angles: 90.00 90.00 90.00
Space group P4/mmm (No. 123)
Asymmetric unit:
Ir 0.000 0.000 0.000
Os 0.500 0.500 0.247
W 0.000 0.000 0.500

Values from the calculation:
Formation enthalpy at 0 K: 0.3 eV/f.u.
Offset from the most stable computed form: 0.199 eV per atom

9.
The following is a DFT calculation (PBE-GGA) of a relaxed structure of CsAg4S2.

abc: 4.5512 4.5512 28.1128
angles: 90.00 90.00 120.00
Space group R-3m (No. 166, hexagonal axes)
Asymmetric unit:
Cs 0.0000 0.0000 0.0000
Ag 0.0000 0.0000 0.1495
Ag 0.0000 0.0000 0.4429
S 0.0000 0.0000 0.2474

Values from the calculation:
Formation energy from raw total energies: -1.242 eV per formula unit

10.
The following is a DFT calculation (PBE-GGA) of a relaxed structure of Ce2InTc.

abc: 3.339 3.339 8.647
angles: 90.00 90.00 90.00
Space group P4/mmm (No. 123)
Asymmetric unit:
Ce 0.000 0.000 0.204
In 0.500 0.500 0.500
Tc 0.500 0.500 0.000

Values from the calculation:
Formation enthalpy at 0 K: -0.9 eV/f.u.
Offset from the most stable computed form: 0.000 eV per atom

11.
The following is a DFT calculation (PBE-GGA) of a relaxed structure of TbCeSm5.

abc: 5.384 5.636 7.837
angles: 101.37 90.13 90.26
Space group P-1 (No. 2)
Asymmetric unit:
Tb 0.000 0.000 0.000
Ce 0.500 0.500 0.500
Sm 0.001 0.649 0.323
Sm 0.498 0.966 0.713
Sm 0.500 0.500 0.000

Values from the calculation:
Formation enthalpy at 0 K: 1.9 eV/f.u.

12.
The following is a DFT calculation (PBE-GGA) of a relaxed structure of LaNiPt.

abc: 6.354 6.354 6.354
angles: 90.00 90.00 90.00
Space group F-43m (No. 216)
Asymmetric unit:
La 0.000 0.000 0.000
Ni 0.250 0.250 0.250
Pt 0.000 0.000 0.500

Values from the calculation:
Formation enthalpy at 0 K: -1.6 eV/f.u.

13.
The following is a DFT calculation (PBE-GGA) of a relaxed structure of ZnCrP.

abc: 3.003 3.003 8.813
angles: 90.00 90.00 90.00
Space group I4mm (No. 107)
Asymmetric unit:
Zn 0.000 0.000 0.000
Cr 0.000 0.000 0.306
P 0.000 0.000 0.697

Values from the calculation:
Formation enthalpy at 0 K: -0.2 eV/f.u.

14.
The following is a DFT calculation (PBE-GGA) of a relaxed structure of InW2Br.

abc: 3.300 4.750 12.166
angles: 90.00 90.00 90.00
Space group Imm2 (No. 44)
Asymmetric unit:
In 0.000 0.000 0.000
W 0.000 0.000 0.522
W 0.000 0.500 0.876
Br 0.000 0.500 0.230

Values from the calculation:
Formation energy from raw total energies: 3.108 eV per formula unit
Offset from the most stable computed form: 0.446 eV per atom

15.
The following is a DFT calculation (PBE-GGA) of a relaxed structure of BePt3.

abc: 3.882 3.882 15.140
angles: 90.00 90.00 90.00
Space group I4/mmm (No. 139)
Asymmetric unit:
Be 0.000 0.000 0.115
Pt 0.000 0.000 0.375
Pt 0.000 0.500 0.000
Pt 0.000 0.500 0.250

Values from the calculation:
Formation enthalpy at 0 K: -1.1 eV/f.u.

16.
The following is a DFT calculation (PBE-GGA) of a relaxed structure of Ag2SbAu.

abc: 5.627 3.149 9.461
angles: 90.00 101.72 90.00
Space group Cm (No. 8)
Asymmetric unit:
Ag 0.000 0.000 0.000
Ag 0.162 0.000 0.476
Sb 0.081 0.500 0.739
Au 0.254 0.500 0.238

Values from the calculation:
Formation energy from raw total energies: 0.408 eV per formula unit

17.
The following is a DFT calculation (PBE-GGA) of a relaxed structure of La2ZrRe.

abc: 7.361 7.361 7.361
angles: 90.00 90.00 90.00
Space group Fm-3m (No. 225)
Asymmetric unit:
La 0.250 0.250 0.250
Zr 0.000 0.000 0.000
Re 0.000 0.000 0.500

Values from the calculation:
Formation enthalpy at 0 K: 2.3 eV/f.u.
Offset from the most stable computed form: 0.457 eV per atom